Here is an optimized crystal structure of Sc2TcIr from OQMD. Energies are from PBE-GGA.

Results
- Energy of formation from the pure elements: -0.249 eV/atom

Cell: 4.550 4.550 4.550 Å, 60.00 60.00 60.00°
Atoms (fractional coordinates):
Sc 0.000 0.000 0.000
Sc 0.250 0.250 0.250
Tc 0.500 0.500 0.500
Ir 0.750 0.750 0.750

Here is an optimized crystal structure of La3PrC2Br2 from OQMD. Energies are from PBE-GGA.

Results
- Final energy: -6.062 eV per atom

Cell: 3.870 3.870 15.308 Å, 90.00 90.00 120.00°
Atoms (fractional coordinates):
La 0.000 0.000 0.000
La 0.000 0.000 0.317
La 0.667 0.333 0.502
Pr 0.667 0.333 0.817
C 0.333 0.667 0.410
C 0.333 0.667 0.908
Br 0.000 0.000 0.663
Br 0.667 0.333 0.158

Here is an optimized crystal structure of Li2ZrIn2 from OQMD. Energies are from PBE-GGA.

Results
- Final energy: -3.679 eV per atom

Cell: 7.137 7.137 7.137 Å, 148.12 148.12 45.71°
Atoms (fractional coordinates):
Li 0.250 0.750 0.500
Li 0.750 0.250 0.500
Zr 0.000 0.000 0.000
In 0.394 0.394 0.000
In 0.606 0.606 0.000

Here is an optimized crystal structure of HgTeO3 from OQMD. Energies are from PBE-GGA.

Results
- Final energy: -4.380 eV per atom

Cell: 6.232 8.336 6.005 Å, 90.00 90.00 90.00°
Atoms (fractional coordinates):
Hg 0.000 0.000 0.000
Hg 0.000 0.500 0.000
Hg 0.500 0.000 0.500
Hg 0.500 0.500 0.500
Te 0.014 0.250 0.498
Te 0.486 0.750 0.998
Te 0.514 0.250 0.002
Te 0.986 0.750 0.502
O 0.114 0.250 0.793
O 0.187 0.078 0.379
O 0.187 0.422 0.379
O 0.313 0.578 0.879
O 0.313 0.922 0.879
O 0.386 0.750 0.293
O 0.614 0.250 0.707
O 0.687 0.078 0.121
O 0.687 0.422 0.121
O 0.813 0.578 0.621
O 0.813 0.922 0.621
O 0.886 0.750 0.207

Here is an optimized crystal structure of TbTlTeO from OQMD. Energies are from PBE-GGA.

Results
- Final energy: -5.383 eV per atom

Cell: 4.923 8.126 6.794 Å, 90.00 90.00 90.00°
Atoms (fractional coordinates):
Tb 0.000 0.129 0.000
Tb 0.000 0.871 0.500
Tl 0.500 0.252 0.579
Tl 0.500 0.748 0.079
Te 0.500 0.334 0.063
Te 0.500 0.666 0.563
O 0.000 0.068 0.701
O 0.000 0.932 0.201

Here is an optimized crystal structure of Dy3LuC2S2 from OQMD. Energies are from PBE-GGA.

Results
- Final energy: -6.898 eV per atom

Cell: 3.681 3.681 12.819 Å, 90.00 90.00 120.00°
Atoms (fractional coordinates):
Dy 0.000 0.000 0.000
Dy 0.000 0.000 0.295
Dy 0.333 0.667 0.789
Lu 0.333 0.667 0.499
C 0.667 0.333 0.399
C 0.667 0.333 0.894
S 0.000 0.000 0.640
S 0.333 0.667 0.147

Here is an optimized crystal structure of PrGaBr7 from OQMD. Energies are from PBE-GGA.

Results
- Final energy: -3.249 eV per atom

Cell: 7.373 6.607 16.783 Å, 90.00 105.78 90.00°
Atoms (fractional coordinates):
Pr 0.000 0.070 0.000
Pr 0.000 0.930 0.500
Ga 0.284 0.498 0.141
Ga 0.284 0.502 0.641
Br 0.109 0.077 0.358
Br 0.109 0.923 0.858
Br 0.293 0.141 0.644
Br 0.293 0.859 0.144
Br 0.344 0.375 0.017
Br 0.344 0.625 0.517
Br 0.485 0.370 0.261
Br 0.485 0.630 0.761
Br 0.701 0.143 0.516
Br 0.701 0.857 0.016
Br 0.829 0.257 0.840
Br 0.829 0.743 0.340
Br 0.968 0.386 0.128
Br 0.968 0.614 0.628

Here is an optimized crystal structure of BaZrZnTe3 from OQMD. Energies are from PBE-GGA.

Results
- Final energy: -4.365 eV per atom

Cell: 8.135 8.135 10.937 Å, 90.00 90.00 149.39°
Atoms (fractional coordinates):
Ba 0.234 0.766 0.750
Ba 0.766 0.234 0.250
Zr 0.000 0.000 0.000
Zr 0.000 0.000 0.500
Zn 0.472 0.528 0.250
Zn 0.528 0.472 0.750
Te 0.079 0.921 0.250
Te 0.368 0.632 0.049
Te 0.368 0.632 0.451
Te 0.632 0.368 0.549
Te 0.632 0.368 0.951
Te 0.921 0.079 0.750

Here is an optimized crystal structure of DySnTe2AuSe from OQMD. Energies are from PBE-GGA.

Results
- Final energy: -4.324 eV per atom

Cell: 7.677 7.677 10.490 Å, 90.00 90.00 147.93°
Atoms (fractional coordinates):
Dy 0.000 0.000 0.000
Dy 0.000 0.000 0.500
Sn 0.251 0.749 0.750
Sn 0.749 0.251 0.250
Te 0.348 0.652 0.055
Te 0.348 0.652 0.445
Te 0.652 0.348 0.555
Te 0.652 0.348 0.945
Au 0.475 0.525 0.250
Au 0.525 0.475 0.750
Se 0.088 0.912 0.250
Se 0.912 0.088 0.750

Here is an optimized crystal structure of Ba2CdBiSb from OQMD. Energies are from PBE-GGA.

Results
- ΔE to the lowest computed polymorph: 4 meV/atom

Cell: 9.743 9.743 8.475 Å, 90.00 90.00 150.25°
Atoms (fractional coordinates):
Ba 0.029 0.971 0.500
Ba 0.203 0.797 0.171
Ba 0.797 0.203 0.671
Ba 0.971 0.029 0.000
Cd 0.410 0.590 0.349
Cd 0.590 0.410 0.849
Bi 0.170 0.830 0.762
Bi 0.830 0.170 0.262
Sb 0.436 0.564 0.708
Sb 0.564 0.436 0.208

Here is an optimized crystal structure of ZnHgTeO from OQMD. Energies are from PBE-GGA.

Results
- ΔE to the lowest computed polymorph: 201 meV/atom

Cell: 6.723 3.252 15.770 Å, 90.00 90.00 90.00°
Atoms (fractional coordinates):
Zn 0.104 0.250 0.117
Zn 0.396 0.750 0.617
Zn 0.604 0.250 0.383
Zn 0.896 0.750 0.883
Hg 0.053 0.750 0.310
Hg 0.447 0.250 0.810
Hg 0.553 0.750 0.190
Hg 0.947 0.250 0.690
Te 0.248 0.250 0.453
Te 0.252 0.750 0.953
Te 0.748 0.250 0.047
Te 0.752 0.750 0.547
O 0.196 0.750 0.173
O 0.304 0.250 0.673
O 0.696 0.750 0.327
O 0.804 0.250 0.827